InPt8: optimized geometry, GGA-PBE.

Properties
Volume: 29.06 Å³/atom
VASP energy: -102.6 eV/cell

Cell: 4.785 4.785 30.507 Å, 90.18 90.18 48.51°
Element x y z (fractional)
In  0.055  0.055  0.255
In  0.945  0.945  0.745
Pt  0.051  0.051  0.956
Pt  0.148  0.148  0.164
Pt  0.153  0.153  0.867
Pt  0.249  0.249  0.074
Pt  0.250  0.250  0.776
Pt  0.351  0.351  0.985
Pt  0.447  0.447  0.195
Pt  0.453  0.453  0.896
Pt  0.547  0.547  0.104
Pt  0.553  0.553  0.805
Pt  0.649  0.649  0.015
Pt  0.750  0.750  0.224
Pt  0.751  0.751  0.926
Pt  0.847  0.847  0.133
Pt  0.852  0.852  0.836
Pt  0.949  0.949  0.044